[1]
# SmBiB4 PBE relaxed
# Raw total energy, eV per atom: -5.797
# Polymorph energy (0 for the lowest one), meV per atom: 0
# M_tot, μB per formula unit: 0.003
data_SmBiB4
_cell_length_a 3.229
_cell_length_b 5.411
_cell_length_c 8.938
_cell_angle_alpha 90.00
_cell_angle_beta 90.00
_cell_angle_gamma 90.00
_space_group_name_H-M_alt 'I m m m'
_space_group_IT_number 71
_space_group_name_Hall '-I 2 2'
loop_
_atom_site_label
_atom_site_type_symbol
_atom_site_fract_x
_atom_site_fract_y
_atom_site_fract_z
Sm1 Sm 0.000 0.000 0.000
Bi1 Bi 0.000 0.000 0.500
B1 B 0.000 0.325 0.258

***

[2]
# PmNbRe PBE relaxed
# DFT formation energy, meV/atom: 812
# Raw total energy, eV per atom: -8.275
# M_tot, μB per formula unit: 0.000
data_PmNbRe
_cell_length_a 6.490
_cell_length_b 6.490
_cell_length_c 6.490
_cell_angle_alpha 90.00
_cell_angle_beta 90.00
_cell_angle_gamma 90.00
_space_group_name_H-M_alt 'F -4 3 m'
_space_group_IT_number 216
_space_group_name_Hall 'F -4 2 3'
loop_
_atom_site_label
_atom_site_type_symbol
_atom_site_fract_x
_atom_site_fract_y
_atom_site_fract_z
Pm1 Pm 0.000 0.000 0.000
Nb1 Nb 0.250 0.250 0.250
Re1 Re 0.000 0.000 0.500

***

[3]
# DyCuPbSeS2 PBE relaxed
# Raw total energy, eV per atom: -5.032
# M_tot, μB per formula unit: 0.002
data_DyCuPbSeS2
_cell_length_a 3.956
_cell_length_b 13.276
_cell_length_c 10.551
_cell_angle_alpha 90.00
_cell_angle_beta 90.00
_cell_angle_gamma 90.00
_space_group_name_H-M_alt 'C m c m'
_space_group_IT_number 63
_space_group_name_Hall '-C 2c 2'
loop_
_atom_site_label
_atom_site_type_symbol
_atom_site_fract_x
_atom_site_fract_y
_atom_site_fract_z
Dy1 Dy 0.000 0.000 0.000
Cu1 Cu 0.000 0.466 0.250
Pb1 Pb 0.000 0.233 0.750
Se1 Se 0.000 0.085 0.250
S1 S 0.000 0.367 0.069

***

[4]
# Ta2Nb4Au3C3 PBE relaxed
# Raw total energy, eV per atom: -8.870
# M_tot, μB per formula unit: 0.004
data_Ta2Nb4Au3C3
_cell_length_a 9.504
_cell_length_b 5.483
_cell_length_c 14.332
_cell_angle_alpha 90.00
_cell_angle_beta 102.80
_cell_angle_gamma 90.00
_space_group_name_H-M_alt 'C 1 2/c 1'
_space_group_IT_number 15
loop_
_space_group_symop_operation_xyz
'x,y,z'
'-x,-y,-z'
'-x,y,-z+1/2'
'x,-y,z+1/2'
'x+1/2,y+1/2,z'
'-x+1/2,-y+1/2,-z'
'-x+1/2,y+1/2,-z+1/2'
'x+1/2,-y+1/2,z+1/2'
loop_
_atom_site_label
_atom_site_type_symbol
_atom_site_fract_x
_atom_site_fract_y
_atom_site_fract_z
Ta1 Ta 0.056 0.084 0.415
Nb1 Nb 0.112 0.418 0.586
Nb2 Nb 0.220 0.416 0.914
Au1 Au 0.000 0.413 0.250
Au2 Au 0.164 0.080 0.750
C1 C 0.082 0.246 0.000
C2 C 0.250 0.250 0.500

***

[5]
# W2SN PBE relaxed
# Raw total energy, eV per atom: -9.436
# Polymorph energy (0 for the lowest one), meV per atom: 0
# M_tot, μB per formula unit: 0.000
data_W2SN
_cell_length_a 9.161
_cell_length_b 5.432
_cell_length_c 12.754
_cell_angle_alpha 90.00
_cell_angle_beta 104.93
_cell_angle_gamma 90.00
_space_group_name_H-M_alt 'C 1 2/c 1'
_space_group_IT_number 15
loop_
_space_group_symop_operation_xyz
'x,y,z'
'-x,-y,-z'
'-x,y,-z+1/2'
'x,-y,z+1/2'
'x+1/2,y+1/2,z'
'-x+1/2,-y+1/2,-z'
'-x+1/2,y+1/2,-z+1/2'
'x+1/2,-y+1/2,z+1/2'
loop_
_atom_site_label
_atom_site_type_symbol
_atom_site_fract_x
_atom_site_fract_y
_atom_site_fract_z
W1 W 0.047 0.125 0.382
W2 W 0.148 0.459 0.611
W3 W 0.210 0.407 0.917
S1 S 0.000 0.458 0.250
S2 S 0.172 0.082 0.725
N1 N 0.063 0.219 0.995
N2 N 0.250 0.250 0.500

***

[6]
# Ba2TbRe2 PBE relaxed
# Raw total energy, eV per atom: -5.604
# Polymorph energy (0 for the lowest one), meV per atom: 337
# M_tot, μB per formula unit: 0.001
data_Ba2TbRe2
_cell_length_a 4.599
_cell_length_b 4.599
_cell_length_c 14.190
_cell_angle_alpha 90.00
_cell_angle_beta 90.00
_cell_angle_gamma 90.00
_space_group_name_H-M_alt 'I 4/m m m'
_space_group_IT_number 139
_space_group_name_Hall '-I 4 2'
loop_
_atom_site_label
_atom_site_type_symbol
_atom_site_fract_x
_atom_site_fract_y
_atom_site_fract_z
Ba1 Ba 0.000 0.500 0.250
Tb1 Tb 0.000 0.000 0.000
Re1 Re 0.000 0.000 0.424